{"formula": "Dy3AlN", "functional": "GGA-PBEsol", "state": "relaxed", "sg": "Pm-3m (221)", "total_energy_ev_per_atom": -6.512, "formation_energy_uncorrected_ev_per_atom": -1.001, "crystal_system": "cubic", "total_magnetization_mub_per_atom": 0.000, "lattice_angstrom": [[4.714, 0.000, 0.000], [0.000, 4.714, 0.000], [0.000, 0.000, 4.714]], "species": ["Dy", "Dy", "Dy", "Al", "N"], "fractional_positions": [[0.000, 0.000, 0.500], [0.000, 0.500, 0.000], [0.500, 0.000, 0.000], [0.500, 0.500, 0.500], [0.000, 0.000, 0.000]]}

---

{"formula": "DyAlNi4", "functional": "GGA-PBEsol", "state": "relaxed", "formation_energy_ev_per_atom": -0.467, "sg": "P-6m2 (187)", "total_energy_ev_per_atom": -6.084, "crystal_system": "hexagonal", "total_magnetization_mub_per_atom": 0.000, "lattice_angstrom": [[4.973, 0.000, 0.000], [-2.487, 4.307, 0.000], [0.000, 0.000, 3.814]], "species": ["Dy", "Al", "Ni", "Ni", "Ni", "Ni"], "fractional_positions": [[0.000, 0.000, 0.000], [0.667, 0.333, 0.000], [0.005, 0.502, 0.500], [0.333, 0.667, 0.000], [0.498, 0.502, 0.500], [0.498, 0.995, 0.500]]}

---

{"formula": "DyAl4Ni", "functional": "GGA-PBEsol", "state": "relaxed", "formation_energy_ev_per_atom": -0.561, "sg": "Cmcm (63)", "total_energy_ev_per_atom": -5.144, "crystal_system": "orthorhombic", "total_magnetization_mub_per_atom": 0.000, "lattice_angstrom": [[2.017, -7.640, 0.000], [2.017, 7.640, 0.000], [0.000, 0.000, 6.537]], "species": ["Dy", "Dy", "Al", "Al", "Al", "Al", "Al", "Al", "Al", "Al", "Ni", "Ni"], "fractional_positions": [[0.118, 0.882, 0.750], [0.882, 0.118, 0.250], [0.076, 0.924, 0.250], [0.311, 0.689, 0.552], [0.311, 0.689, 0.948], [0.500, 0.500, 0.000], [0.500, 0.500, 0.500], [0.689, 0.311, 0.052], [0.689, 0.311, 0.448], [0.924, 0.076, 0.750], [0.226, 0.774, 0.250], [0.774, 0.226, 0.750]]}

---

{"formula": "DyAlNi4", "functional": "GGA-PBEsol", "state": "relaxed", "formation_energy_ev_per_atom": -0.532, "sg": "Cmmm (65)", "total_energy_ev_per_atom": -6.149, "crystal_system": "orthorhombic", "total_magnetization_mub_per_atom": 0.000, "lattice_angstrom": [[4.925, 0.000, 0.000], [0.000, 8.304, 0.000], [0.000, 0.000, 3.969]], "species": ["Dy", "Dy", "Al", "Al", "Ni", "Ni", "Ni", "Ni", "Ni", "Ni", "Ni", "Ni"], "fractional_positions": [[0.000, 0.000, 0.000], [0.500, 0.500, 0.000], [0.000, 0.500, 0.500], [0.500, 0.000, 0.500], [0.000, 0.330, 0.000], [0.000, 0.670, 0.000], [0.250, 0.250, 0.500], [0.250, 0.750, 0.500], [0.500, 0.170, 0.000], [0.500, 0.830, 0.000], [0.750, 0.250, 0.500], [0.750, 0.750, 0.500]]}

---

{"formula": "Dy3Al2Ni6", "functional": "GGA-PBEsol", "state": "relaxed", "formation_energy_ev_per_atom": -0.572, "sg": "Im-3m (229)", "total_energy_ev_per_atom": -6.033, "crystal_system": "cubic", "total_magnetization_mub_per_atom": 0.000, "lattice_angstrom": [[-4.387, 4.387, 4.387], [4.387, -4.387, 4.387], [4.387, 4.387, -4.387]], "species": ["Dy", "Dy", "Dy", "Dy", "Dy", "Dy", "Al", "Al", "Al", "Al", "Ni", "Ni", "Ni", "Ni", "Ni", "Ni", "Ni", "Ni", "Ni", "Ni", "Ni", "Ni"], "fractional_positions": [[0.000, 0.292, 0.292], [0.000, 0.708, 0.708], [0.292, 0.000, 0.292], [0.292, 0.292, 0.000], [0.708, 0.000, 0.708], [0.708, 0.708, 0.000], [0.000, 0.000, 0.500], [0.000, 0.500, 0.000], [0.500, 0.000, 0.000], [0.500, 0.500, 0.500], [0.000, 0.337, 0.663], [0.000, 0.663, 0.337], [0.327, 0.663, 0.663], [0.337, 0.000, 0.663], [0.337, 0.337, 0.673], [0.337, 0.663, 0.000], [0.337, 0.673, 0.337], [0.663, 0.000, 0.337], [0.663, 0.327, 0.663], [0.663, 0.337, 0.000], [0.663, 0.663, 0.327], [0.673, 0.337, 0.337]]}

---

{"formula": "DyAlNi", "functional": "GGA-PBEsol", "state": "relaxed", "formation_energy_ev_per_atom": -0.609, "sg": "P-62m (189)", "total_energy_ev_per_atom": -5.685, "crystal_system": "hexagonal", "total_magnetization_mub_per_atom": 0.000, "lattice_angstrom": [[6.851, 0.000, 0.000], [-3.426, 5.933, 0.000], [0.000, 0.000, 3.852]], "species": ["Dy", "Dy", "Dy", "Al", "Al", "Al", "Ni", "Ni", "Ni"], "fractional_positions": [[0.000, 0.582, 0.000], [0.418, 0.418, 0.000], [0.582, 0.000, 0.000], [0.000, 0.236, 0.500], [0.236, 0.000, 0.500], [0.764, 0.764, 0.500], [0.000, 0.000, 0.000], [0.333, 0.667, 0.500], [0.667, 0.333, 0.500]]}